This record from Alexandria describes a relaxed structure of AcPm3Nd7. The functional is GGA-PBE.

* calculated total energy: -99.059 eV/cell
* size of the total moment: 0.000 μB/f.u.
* ΔE to the lowest computed polymorph: 0 meV per atom
* energy of formation from the pure elements: 0.2005 eV per atom

a = 11.9808 Å, b = 10.2473 Å, c = 6.6696 Å
α = 90.00°, β = 95.22°, γ = 90.00°
Space group C2/m (No. 12)
Inequivalent atoms, fractional coordinates:
Ac 0.0000 0.0000 0.0000
Pm 0.0000 0.3277 0.5000
Pm 0.0000 0.5000 0.0000
Nd 0.0000 0.0000 0.5000
Nd 0.2335 0.5000 0.7028
Nd 0.2504 0.1758 0.7596